18
Lattice="-2.4268 4.1545 0.5486 -2.4019 -4.1050 -0.9106 -0.6837 -1.5750 8.9033" Properties=species:S:1:pos:R:3 comment="CoMoIrO6, relaxed, DFT GGA+U" space_group="P-31c (163)" dft_energy_ry_per_atom=-0.491 pbc="T T T"
O -3.5901 1.8217 5.7909
O -1.8225 -0.6248 3.2396
O -4.2610 -1.8693 2.8322
O -1.2513 0.3437 5.7091
O -1.9222 -3.3473 2.7503
O -2.1646 -1.3212 7.7073
O -3.6899 -0.9008 5.3017
O -0.9016 -1.4989 0.7928
O -4.6108 -0.0267 7.7485
O -3.3477 -0.2044 0.8339
O -2.2807 1.4035 8.1804
O -3.2316 -2.9291 0.3608
Ir -2.5894 1.0075 2.2880
Ir -2.9230 -2.5332 6.2532
Mo -2.5811 -1.7456 1.8016
Mo -2.9313 0.2200 6.7396
Co -0.3418 -0.7875 4.4516
Co 0.0000 0.0000 0.0000